A geometry-optimized CdIn5Pb4 structure, computed with GGA-PBE.

```
CdIn5Pb4
1.0
3.928 0.000 0.000
0.000 3.928 0.000
0.000 0.000 18.600
Pb In Cd
4 5 1
Direct
0.000 0.000 0.191
0.000 0.000 0.603
0.000 0.000 0.809
0.000 0.000 0.397
0.500 0.500 0.297
0.500 0.500 0.703
0.500 0.500 0.090
0.500 0.500 0.500
0.500 0.500 0.910
0.000 0.000 0.000
```

Summary:
Magnetization in μB/atom: 0.000
Energy in eV per formula unit: -29.09
ΔH_f (0 K) in kJ/mol of formula units: 34

A geometry-optimized CdIn2Pb structure, computed with GGA-PBE.

```
CdIn2Pb
1.0
-0.041 -1.771 5.366
-3.981 -4.010 -0.028
4.451 0.472 -3.448
In Pb Cd
2 1 1
Direct
0.250 0.750 0.500
0.000 0.000 0.000
0.500 0.500 0.000
0.750 0.250 0.500
```

Summary:
Magnetization in μB/atom: 0.000
Energy in eV per formula unit: -9.95
ΔH_f (0 K) in kJ/mol of formula units: 14

A geometry-optimized Cd3In3Pb structure, computed with GGA-PBE.

```
Cd3In3Pb
1.0
7.997 0.000 0.000
0.000 7.997 0.000
0.000 0.000 7.997
Cd In Pb
6 6 2
Direct
0.750 0.000 0.500
0.000 0.500 0.250
0.500 0.750 0.000
0.000 0.500 0.750
0.500 0.250 0.000
0.250 0.000 0.500
0.000 0.250 0.500
0.500 0.000 0.250
0.500 0.000 0.750
0.750 0.500 0.000
0.250 0.500 0.000
0.000 0.750 0.500
0.500 0.500 0.500
0.000 0.000 0.000
```

Summary:
Magnetization in μB/atom: 0.000
Energy in eV per formula unit: -11.65
ΔH_f (0 K) in kJ/mol of formula units: 291
Energy above the lowest structure with this stoichiometry in meV/atom: 379

A geometry-optimized CdInPb2 structure, computed with GGA-PBE.

```
CdInPb2
1.0
5.954 0.073 0.000
1.931 5.632 0.000
-3.942 -2.853 3.431
Cd Pb In
1 2 1
Direct
0.250 0.750 0.500
0.000 0.000 0.000
0.500 0.500 0.000
0.750 0.250 0.500
```

Summary:
Magnetization in μB/atom: 0.000
Energy in eV per formula unit: -10.91
ΔH_f (0 K) in kJ/mol of formula units: 15
Energy above the lowest structure with this stoichiometry in meV/atom: 11

A geometry-optimized Cd5In2Pb structure, computed with GGA-PBE.

```
Cd5In2Pb
1.0
-2.405 1.438 -5.905
-1.607 -5.478 3.179
-2.394 4.734 3.816
In Cd Pb
2 5 1
Direct
0.778 0.278 0.500
0.278 0.778 0.500
0.278 0.278 0.500
0.278 0.777 0.000
0.278 0.278 0.000
0.778 0.278 0.000
0.777 0.778 0.500
0.778 0.778 0.000
```

Summary:
Magnetization in μB/atom: 0.000
Energy in eV per formula unit: -13.25
ΔH_f (0 K) in kJ/mol of formula units: 50

A geometry-optimized Cd7In3Pb2 structure, computed with GGA-PBE.

```
Cd7In3Pb2
1.0
3.304 0.000 0.000
0.000 5.116 0.156
0.000 0.412 18.918
In Cd Pb
3 7 2
Direct
0.000 0.263 0.379
0.000 0.737 0.621
0.500 0.500 0.000
0.000 0.000 0.000
0.500 0.244 0.539
0.500 0.182 0.150
0.000 0.326 0.857
0.000 0.674 0.143
0.500 0.756 0.461
0.500 0.818 0.850
0.500 0.779 0.290
0.500 0.221 0.710
```

Summary:
Magnetization in μB/atom: 0.000
Energy in eV per formula unit: -21.22
ΔH_f (0 K) in kJ/mol of formula units: 79

Which formula does entry 1 have? CdIn5Pb4

Which of these has the lowest ΔH_f (0 K)? CdIn2Pb